## NbCdCu2Br (PBE)

Data for an optimized crystal structure of NbCdCu2Br.

Cell lengths 4.8923, 4.8923, 5.6782 Å; angles 90.00, 90.00, 90.00 degrees
Positions (direct):
Nb1 0.0000 0.0000 0.0000
Cd1 0.0000 0.0000 0.5000
Cu1 0.0000 0.5000 0.0000
Cu2 0.5000 0.0000 0.0000
Br1 0.5000 0.5000 0.5000

Values from the calculation:
Space group: P4/mmm
V in Å³ per cell: 135.9
Energy relative to the elements, uncorrected in kJ/mol of atoms: 115



## NbCdCuBr2 (PBE)

Data for an optimized crystal structure of NbCdCuBr2.

Cell lengths 5.2337, 5.2337, 6.0532 Å; angles 90.00, 90.00, 90.00 degrees
Positions (direct):
Nb1 0.0000 0.0000 0.0000
Cd1 0.0000 0.0000 0.5000
Cu1 0.5000 0.5000 0.0000
Br1 0.0000 0.5000 0.5000
Br2 0.5000 0.0000 0.5000

Values from the calculation:
Space group: P4/mmm
V in Å³ per cell: 165.8
Energy relative to the elements, uncorrected in kJ/mol of atoms: 115



## Rb3CdCu2Br8 (PBE)

Data for an optimized crystal structure of Rb3CdCu2Br8.

Cell lengths 7.6639, 7.6639, 9.7306 Å; angles 90.00, 90.00, 120.00 degrees
Positions (direct):
Rb1 0.0000 0.0000 0.0000
Rb2 0.3333 0.6667 0.6259
Rb3 0.6667 0.3333 0.3741
Cd1 0.0000 0.0000 0.5000
Cu1 0.3333 0.6667 0.2085
Cu2 0.6667 0.3333 0.7915
Br1 0.1658 0.3316 0.3209
Br2 0.1658 0.8342 0.3209
Br3 0.3316 0.1658 0.6791
Br4 0.3333 0.6667 0.9707
Br5 0.6667 0.3333 0.0293
Br6 0.6684 0.8342 0.3209
Br7 0.8342 0.1658 0.6791
Br8 0.8342 0.6684 0.6791

Values from the calculation:
Space group: P-3m1
V in Å³ per cell: 495.0
Energy relative to the elements, uncorrected in kJ/mol of atoms: -98



## RbCd3Cu4Br12 (PBE)

Data for an optimized crystal structure of RbCd3Cu4Br12.

Cell lengths 9.1501, 9.1501, 9.1501 Å; angles 105.71, 105.71, 105.71 degrees
Positions (direct):
Rb1 0.0000 0.0000 0.0000
Cd1 0.0000 0.5651 0.4349
Cd2 0.4349 0.0000 0.5651
Cd3 0.5651 0.4349 0.0000
Cu1 0.0790 0.5000 0.9210
Cu2 0.5000 0.5000 0.5000
Cu3 0.5000 0.9210 0.0790
Cu4 0.9210 0.0790 0.5000
Br1 0.0213 0.6473 0.7566
Br2 0.0883 0.9117 0.5000
Br3 0.2434 0.3527 0.9787
Br4 0.3381 0.6619 0.5000
Br5 0.3527 0.9787 0.2434
Br6 0.5000 0.0883 0.9117
Br7 0.5000 0.3381 0.6619
Br8 0.6473 0.7566 0.0213
Br9 0.6619 0.5000 0.3381
Br10 0.7566 0.0213 0.6473
Br11 0.9117 0.5000 0.0883
Br12 0.9787 0.2434 0.3527

Values from the calculation:
Space group: R32
V in Å³ per cell: 659.2
Energy relative to the elements, uncorrected in kJ/mol of atoms: -62



## CdCuSeBr2 (PBE)

Data for an optimized crystal structure of CdCuSeBr2.

Cell lengths 4.8724, 4.8724, 5.2405 Å; angles 90.00, 90.00, 90.00 degrees
Positions (direct):
Cd1 0.0000 0.0000 0.0000
Cu1 0.5000 0.5000 0.5000
Se1 0.5000 0.5000 0.0000
Br1 0.0000 0.5000 0.5000
Br2 0.5000 0.0000 0.5000

Values from the calculation:
Space group: P4/mmm
V in Å³ per cell: 124.4
Energy relative to the elements, uncorrected in kJ/mol of atoms: 2



## CdCuSe2Br (PBE)

Data for an optimized crystal structure of CdCuSe2Br.

Cell lengths 4.8648, 4.8648, 5.0134 Å; angles 90.00, 90.00, 90.00 degrees
Positions (direct):
Cd1 0.0000 0.0000 0.0000
Cu1 0.5000 0.5000 0.5000
Se1 0.0000 0.5000 0.5000
Se2 0.5000 0.0000 0.5000
Br1 0.5000 0.5000 0.0000

Values from the calculation:
Space group: P4/mmm
V in Å³ per cell: 118.6
Energy relative to the elements, uncorrected in kJ/mol of atoms: 19



For each record above, in turn, the calculated uncorrected energy values are -2.98 -2.50 -2.82 -2.65 -2.34 -2.54 eV/atom.